{
  "formula": "VAgIO2",
  "functional": "GGA+U",
  "state": "optimized geometry",
  "total_magnetization_mub_per_cell": 1.00,
  "e_tot_ev_per_cell": -25.381,
  "relative_energy_mev_per_atom": 0,
  "lattice_angstrom": [[3.8795, 0.0000, 0.0000], [0.0000, 3.8795, 0.0000], [0.0000, 0.0000, 5.9488]],
  "species": ["V", "Ag", "I", "O", "O"],
  "frac_coords": [[0.0000, 0.0000, 0.0000], [0.5000, 0.5000, 0.5000], [0.0000, 0.0000, 0.5000], [0.0000, 0.5000, 0.0000], [0.5000, 0.0000, 0.0000]]
}